[1]
Ce3Ni8Ge: relaxed, PBE. Values from VASP.

Computed properties:
- SG: No. 160

Structure (Quantum ESPRESSO input):
```
&SYSTEM
  ibrav = 0, nat = 12, ntyp = 3
/
ATOMIC_SPECIES
Ni 58.69 Ni.upf
Ce 140.12 Ce.upf
Ge 72.64 Ge.upf
ATOMIC_POSITIONS crystal
Ni 0.189 0.189 0.433
Ni 0.436 0.436 0.185
Ni 0.943 0.436 0.185
Ni 0.436 0.943 0.185
Ni 0.939 0.440 0.682
Ni 0.939 0.939 0.682
Ni 0.440 0.939 0.682
Ni 0.689 0.689 0.934
Ce 0.990 0.990 0.029
Ce 0.506 0.506 0.481
Ce 0.378 0.378 0.866
Ge 0.864 0.864 0.408
CELL_PARAMETERS angstrom
-2.075 0.500 4.560
-0.715 -4.055 2.899
6.490 -0.161 5.750
```

[2]
Ce4NiGe3: relaxed, PBE. Values from VASP.

Computed properties:
- SG: No. 25

Structure (Quantum ESPRESSO input):
```
&SYSTEM
  ibrav = 0, nat = 8, ntyp = 3
/
ATOMIC_SPECIES
Ge 72.64 Ge.upf
Ce 140.12 Ce.upf
Ni 58.69 Ni.upf
ATOMIC_POSITIONS crystal
Ge 0.500 0.000 0.932
Ge 0.000 0.000 0.419
Ge 0.000 0.500 0.582
Ce 0.000 0.500 0.867
Ce 0.500 0.500 0.349
Ce 0.000 0.000 0.139
Ce 0.500 0.000 0.644
Ni 0.500 0.500 0.067
CELL_PARAMETERS angstrom
-0.453 0.771 4.144
1.532 -3.719 0.860
10.048 4.210 0.314
```

[3]
Ce2NiGe5: relaxed, PBE. Values from VASP.

Computed properties:
- SG: No. 107

Structure (Quantum ESPRESSO input):
```
&SYSTEM
  ibrav = 0, nat = 8, ntyp = 3
/
ATOMIC_SPECIES
Ce 140.12 Ce.upf
Ge 72.64 Ge.upf
Ni 58.69 Ni.upf
ATOMIC_POSITIONS crystal
Ce 0.500 0.754 0.254
Ce 0.500 0.254 0.754
Ge 0.000 0.292 0.292
Ge 0.000 0.745 0.270
Ge 0.000 0.270 0.745
Ge 0.525 0.270 0.270
Ge 0.475 0.745 0.745
Ni 0.000 0.892 0.892
CELL_PARAMETERS angstrom
-4.154 3.804 -2.637
-0.131 -6.181 -0.679
0.075 -1.265 6.089
```

[4]
CeNi3Ge: relaxed, PBE. Values from VASP.

Computed properties:
- SG: No. 55

Structure (Quantum ESPRESSO input):
```
&SYSTEM
  ibrav = 0, nat = 10, ntyp = 3
/
ATOMIC_SPECIES
Ni 58.69 Ni.upf
Ge 72.64 Ge.upf
Ce 140.12 Ce.upf
ATOMIC_POSITIONS crystal
Ni 0.500 0.500 0.000
Ni 0.500 0.000 0.500
Ni 0.000 0.086 0.174
Ni 0.000 0.914 0.826
Ni 0.000 0.586 0.326
Ni 0.000 0.414 0.674
Ge 0.000 0.500 0.000
Ge 0.000 0.000 0.500
Ce 0.500 0.000 0.000
Ce 0.500 0.500 0.500
CELL_PARAMETERS angstrom
-0.945 1.544 4.407
1.210 -4.497 1.835
6.541 2.040 0.688
```

[5]
Ce3NiGe2: relaxed, PBE. Values from VASP.

Computed properties:
- SG: No. 62

Structure (Quantum ESPRESSO input):
```
&SYSTEM
  ibrav = 0, nat = 24, ntyp = 3
/
ATOMIC_SPECIES
Ni 58.69 Ni.upf
Ce 140.12 Ce.upf
Ge 72.64 Ge.upf
ATOMIC_POSITIONS crystal
Ni 0.250 0.369 0.627
Ni 0.750 0.869 0.873
Ni 0.750 0.631 0.373
Ni 0.250 0.131 0.127
Ce 0.750 0.295 0.780
Ce 0.750 0.941 0.119
Ce 0.250 0.120 0.551
Ce 0.250 0.441 0.381
Ce 0.750 0.205 0.280
Ce 0.250 0.380 0.051
Ce 0.750 0.620 0.949
Ce 0.250 0.795 0.720
Ce 0.250 0.059 0.881
Ce 0.750 0.559 0.619
Ce 0.250 0.705 0.220
Ce 0.750 0.880 0.449
Ge 0.250 0.690 0.479
Ge 0.750 0.190 0.021
Ge 0.750 0.998 0.699
Ge 0.250 0.002 0.301
Ge 0.250 0.810 0.979
Ge 0.750 0.310 0.521
Ge 0.750 0.502 0.199
Ge 0.250 0.498 0.801
CELL_PARAMETERS angstrom
4.199 0.000 0.000
0.000 11.284 0.000
0.000 0.000 11.845
```

[6]
CeNiGe: relaxed, PBE. Values from VASP.

Computed properties:
- SG: No. 62

Structure (Quantum ESPRESSO input):
```
&SYSTEM
  ibrav = 0, nat = 12, ntyp = 3
/
ATOMIC_SPECIES
Ge 72.64 Ge.upf
Ce 140.12 Ce.upf
Ni 58.69 Ni.upf
ATOMIC_POSITIONS crystal
Ge 0.250 0.303 0.091
Ge 0.750 0.197 0.591
Ge 0.750 0.697 0.909
Ge 0.250 0.803 0.409
Ce 0.250 0.987 0.791
Ce 0.750 0.513 0.291
Ce 0.250 0.487 0.709
Ce 0.750 0.013 0.209
Ni 0.750 0.798 0.579
Ni 0.750 0.298 0.921
Ni 0.250 0.702 0.079
Ni 0.250 0.202 0.421
CELL_PARAMETERS angstrom
-3.172 1.412 2.555
4.223 -0.952 5.769
2.450 6.739 -0.682
```

[7]
Ce3Ni9Ge2: relaxed, PBE. Values from VASP.

Computed properties:
- SG: No. 71

Structure (Quantum ESPRESSO input):
```
&SYSTEM
  ibrav = 0, nat = 14, ntyp = 3
/
ATOMIC_SPECIES
Ge 72.64 Ge.upf
Ni 58.69 Ni.upf
Ce 140.12 Ce.upf
ATOMIC_POSITIONS crystal
Ge 0.500 0.276 0.724
Ge 0.500 0.724 0.276
Ni 0.887 0.389 0.838
Ni 0.113 0.611 0.162
Ni 0.113 0.162 0.611
Ni 0.686 0.967 0.660
Ni 0.000 0.500 0.500
Ni 0.686 0.660 0.967
Ni 0.314 0.033 0.340
Ni 0.314 0.340 0.033
Ni 0.887 0.838 0.389
Ce 0.303 0.697 0.697
Ce 0.697 0.303 0.303
Ce 0.000 0.000 0.000
CELL_PARAMETERS angstrom
-0.629 -1.064 -3.828
-2.048 -7.459 0.296
-7.683 -0.668 -0.666
```

[8]
Ce2NiGe3: relaxed, PBE. Values from VASP.

Computed properties:
- ΔE to the lowest computed polymorph: 42 meV/atom
- SG: No. 187

Structure (Quantum ESPRESSO input):
```
&SYSTEM
  ibrav = 0, nat = 6, ntyp = 3
/
ATOMIC_SPECIES
Ce 140.12 Ce.upf
Ni 58.69 Ni.upf
Ge 72.64 Ge.upf
ATOMIC_POSITIONS crystal
Ce 0.667 0.333 0.764
Ce 0.667 0.333 0.236
Ni 0.000 0.000 0.000
Ge 0.333 0.667 0.000
Ge 0.333 0.667 0.500
Ge 0.000 0.000 0.500
CELL_PARAMETERS angstrom
4.242 0.000 0.000
-2.121 3.673 0.000
0.000 0.000 7.931
```

[9]
CeNiGe3: relaxed, PBE. Values from VASP.

Computed properties:
- SG: No. 63

Structure (Quantum ESPRESSO input):
```
&SYSTEM
  ibrav = 0, nat = 10, ntyp = 3
/
ATOMIC_SPECIES
Ge 72.64 Ge.upf
Ce 140.12 Ce.upf
Ni 58.69 Ni.upf
ATOMIC_POSITIONS crystal
Ge 0.098 0.750 0.197
Ge 0.701 0.972 0.403
Ge 0.701 0.528 0.403
Ge 0.299 0.472 0.597
Ge 0.299 0.028 0.597
Ge 0.902 0.250 0.803
Ce 0.102 0.250 0.204
Ce 0.898 0.750 0.796
Ni 0.555 0.750 0.109
Ni 0.445 0.250 0.891
CELL_PARAMETERS angstrom
-0.476 -1.078 -4.258
5.824 -0.832 -0.440
-0.644 -6.649 4.047
```

[10]
CeNi12Ge6: relaxed, PBE. Values from VASP.

Computed properties:
- SG: No. 166

Structure (Quantum ESPRESSO input):
```
&SYSTEM
  ibrav = 0, nat = 19, ntyp = 3
/
ATOMIC_SPECIES
Ni 58.69 Ni.upf
Ge 72.64 Ge.upf
Ce 140.12 Ce.upf
ATOMIC_POSITIONS crystal
Ni 0.412 0.156 0.412
Ni 0.156 0.412 0.412
Ni 0.500 0.881 0.119
Ni 0.844 0.588 0.588
Ni 0.588 0.844 0.588
Ni 0.412 0.412 0.156
Ni 0.881 0.500 0.119
Ni 0.881 0.119 0.500
Ni 0.119 0.881 0.500
Ni 0.119 0.500 0.881
Ni 0.588 0.588 0.844
Ni 0.500 0.119 0.881
Ge 0.258 0.703 0.258
Ge 0.297 0.742 0.742
Ge 0.742 0.742 0.297
Ge 0.258 0.258 0.703
Ge 0.703 0.258 0.258
Ge 0.742 0.297 0.742
Ce 0.000 0.000 0.000
CELL_PARAMETERS angstrom
6.701 -0.049 -0.070
-1.709 6.479 -0.070
-1.709 -2.201 6.094
```

[11]
Ce3NiGe3: relaxed, PBE. Values from VASP.

Computed properties:
- ΔE to the lowest computed polymorph: 0 meV/atom
- SG: No. 12

Structure (Quantum ESPRESSO input):
```
&SYSTEM
  ibrav = 0, nat = 14, ntyp = 3
/
ATOMIC_SPECIES
Ce 140.12 Ce.upf
Ni 58.69 Ni.upf
Ge 72.64 Ge.upf
ATOMIC_POSITIONS crystal
Ce 0.400 0.281 0.920
Ce 0.254 0.258 0.233
Ce 0.600 0.719 0.080
Ce 0.471 0.672 0.387
Ce 0.529 0.328 0.613
Ce 0.746 0.742 0.767
Ni 0.763 0.082 0.393
Ni 0.237 0.918 0.607
Ge 0.120 0.836 0.924
Ge 0.037 0.165 0.760
Ge 0.963 0.835 0.240
Ge 0.153 0.238 0.456
Ge 0.880 0.164 0.076
Ge 0.847 0.762 0.544
CELL_PARAMETERS angstrom
-3.066 2.688 1.271
-4.883 -0.729 -3.059
-6.088 -7.908 9.212
```

[12]
CeNiGe: relaxed, PBE. Values from VASP.

Computed properties:
- SG: No. 194

Structure (Quantum ESPRESSO input):
```
&SYSTEM
  ibrav = 0, nat = 24, ntyp = 3
/
ATOMIC_SPECIES
Ni 58.69 Ni.upf
Ce 140.12 Ce.upf
Ge 72.64 Ge.upf
ATOMIC_POSITIONS crystal
Ni 0.000 0.917 0.877
Ni 0.000 0.583 0.377
Ni 0.500 0.083 0.623
Ni 0.000 0.583 0.623
Ni 0.000 0.917 0.123
Ni 0.500 0.417 0.877
Ni 0.500 0.417 0.123
Ni 0.500 0.083 0.377
Ce 0.500 0.750 0.250
Ce 0.000 0.250 0.750
Ce 0.500 0.750 0.500
Ce 0.500 0.750 0.750
Ce 0.000 0.250 0.000
Ce 0.000 0.250 0.500
Ce 0.500 0.750 0.000
Ce 0.000 0.250 0.250
Ge 0.000 0.917 0.628
Ge 0.000 0.917 0.372
Ge 0.500 0.083 0.128
Ge 0.500 0.417 0.372
Ge 0.500 0.417 0.628
Ge 0.500 0.083 0.872
Ge 0.000 0.583 0.128
Ge 0.000 0.583 0.872
CELL_PARAMETERS angstrom
-3.117 2.756 0.550
-1.845 -0.689 -6.996
-9.433 -11.389 3.610
```

no.,formation energy from the elements (eV/atom),total magnetization (Bohr magnetons per cell)
1,-0.3810,0.2
2,-0.6023,3.5
3,-0.4783,0.1
4,-0.1922,0.0
5,-0.6623,11.8
6,-0.7390,0.3
7,-0.3745,0.1
8,-0.6708,0.0
9,-0.2379,0.1
10,-0.2646,0.7
11,-0.7052,3.5
12,-0.7334,0.0